# 1
Material: Ho4Sc4Tl
Method: DFT, PBE
State: relaxed

Cell lengths 10.1700, 10.1700, 4.7063 Å; angles 90.00, 90.00, 90.00 degrees
Space group I4/mmm (No. 139)
One atom of each set of equivalent atoms:
Ho 0.1637 0.1637 0.0000 [8 per cell]
Sc 0.0000 0.3427 0.5000 [8 per cell]
Tl 0.0000 0.0000 0.5000 [2 per cell]

## Properties
Calculated total energy = -5.13 eV per atom
N(E_F) = 31.09 states/eV/cell

***

# 2
Material: Nd10Dy6Ho
Method: DFT, PBE
State: relaxed

Cell lengths 9.8479, 9.8479, 6.9268 Å; angles 90.00, 90.00, 120.00 degrees
Space group P-31m (No. 162)
One atom of each set of equivalent atoms:
Nd 0.0000 0.2740 0.3151 [6 per cell]
Nd 0.3333 0.6667 0.0000 [2 per cell]
Nd 0.3333 0.6667 0.5000 [2 per cell]
Dy 0.0000 0.3707 0.8079 [6 per cell]
Ho 0.0000 0.0000 0.0000 [1 per cell]

## Properties
Calculated total energy = -4.57 eV per atom
N(E_F) = 24.92 states/eV/cell

***

# 3
Material: HfCr2Re2
Method: DFT, PBE
State: relaxed

Cell lengths 4.0918, 4.0918, 9.7159 Å; angles 90.00, 90.00, 90.00 degrees
Space group I4/mmm (No. 139)
One atom of each set of equivalent atoms:
Hf 0.0000 0.0000 0.0000 [2 per cell]
Cr 0.0000 0.0000 0.3838 [4 per cell]
Re 0.0000 0.5000 0.2500 [4 per cell]

## Properties
Calculated total energy = -10.67 eV per atom
N(E_F) = 12.62 states/eV/cell
Distance to the lowest polymorph of the same formula = 0.00 eV per formula unit

***

# 4
Material: BPd2Rh2
Method: DFT, PBE
State: relaxed

Cell lengths 5.5317, 5.5317, 4.5747 Å; angles 90.00, 90.00, 90.00 degrees
Space group P4/mbm (No. 127)
One atom of each set of equivalent atoms:
B 0.0000 0.0000 0.0000 [2 per cell]
Pd 0.1726 0.3274 0.5000 [4 per cell]
Rh 0.1606 0.6606 0.0000 [4 per cell]

## Properties
Calculated total energy = -6.28 eV per atom
N(E_F) = 20.99 states/eV/cell

***

# 5
Material: ZrTl3S
Method: DFT, PBE
State: relaxed

Cell lengths 5.3699, 5.3699, 5.3699 Å; angles 90.00, 90.00, 90.00 degrees
Space group Pm-3m (No. 221)
One atom of each set of equivalent atoms:
Zr 0.0000 0.0000 0.0000 [1 per cell]
Tl 0.0000 0.5000 0.5000 [3 per cell]
S 0.5000 0.5000 0.5000 [1 per cell]

## Properties
Calculated total energy = -3.24 eV per atom
Formation energy (no corrections) = 0.720 eV/atom
N(E_F) = 5.10 states/eV/cell
Distance to the lowest polymorph of the same formula = 0.00 eV per formula unit

***

# 6
Material: SnBrN2F
Method: DFT, PBE
State: relaxed

Cell lengths 4.3325, 4.3325, 4.2226 Å; angles 90.00, 90.00, 90.00 degrees
Space group P4/mmm (No. 123)
One atom of each set of equivalent atoms:
Sn 0.0000 0.0000 0.0000 [1 per cell]
Br 0.5000 0.5000 0.5000 [1 per cell]
N 0.0000 0.5000 0.0000 [2 per cell]
F 0.0000 0.0000 0.5000 [1 per cell]

## Properties
Calculated total energy = -4.13 eV per atom
Formation energy (no corrections) = 0.709 eV/atom
N(E_F) = 3.55 states/eV/cell
Distance to the lowest polymorph of the same formula = 0.00 eV per formula unit

***

# 7
Material: Cs2ThCl7
Method: DFT, PBE
State: relaxed

Cell lengths 11.8278, 11.8278, 11.8278 Å; angles 90.00, 90.00, 90.00 degrees
Space group Fm-3m (No. 225)
One atom of each set of equivalent atoms:
Cs 0.2500 0.2500 0.2500 [8 per cell]
Th 0.0000 0.0000 0.0000 [4 per cell]
Cl 0.0000 0.0000 0.2266 [24 per cell]
Cl 0.0000 0.0000 0.5000 [4 per cell]

## Properties
Calculated total energy = -3.98 eV per atom
Formation energy (no corrections) = -1.776 eV/atom
N(E_F) = 32.43 states/eV/cell

***

# 8
Material: CdHgS2
Method: DFT, PBE
State: relaxed

Cell lengths 6.9655, 3.8994, 6.9239 Å; angles 90.00, 111.54, 90.00 degrees
Space group C2/m (No. 12)
One atom of each set of equivalent atoms:
Cd 0.0000 0.0000 0.0000 [2 per cell]
Hg 0.0000 0.5000 0.5000 [2 per cell]
S 0.2105 0.0000 0.7591 [4 per cell]

## Properties
Calculated total energy = -2.60 eV per atom
Formation energy (no corrections) = -0.231 eV/atom
N(E_F) = 0.02 states/eV/cell
Distance to the lowest polymorph of the same formula = 0.61 eV per formula unit

***

# 9
Material: Tb2Pm5Nd5
Method: DFT, PBE
State: relaxed

Cell lengths 15.4908, 5.1569, 11.5433 Å; angles 90.00, 116.54, 90.00 degrees
Space group C2/m (No. 12)
One atom of each set of equivalent atoms:
Tb 0.0835 0.0000 0.2508 [4 per cell]
Pm 0.0000 0.5000 0.0000 [2 per cell]
Pm 0.0822 0.5000 0.7494 [4 per cell]
Pm 0.1670 0.5000 0.5001 [4 per cell]
Nd 0.0000 0.0000 0.5000 [2 per cell]
Nd 0.1655 0.0000 0.9996 [4 per cell]
Nd 0.2489 0.5000 0.2496 [4 per cell]

## Properties
Calculated total energy = -4.72 eV per atom
N(E_F) = 36.97 states/eV/cell
Distance to the lowest polymorph of the same formula = 0.00 eV per formula unit

***

# 10
Material: Cr2SbAu
Method: DFT, PBE
State: relaxed

Cell lengths 3.3735, 3.3735, 23.7634 Å; angles 90.00, 90.00, 120.00 degrees
Space group R-3m (No. 166, hexagonal axes)
One atom of each set of equivalent atoms:
Cr 0.0000 0.0000 0.2492 [6 per cell]
Sb 0.0000 0.0000 0.0000 [3 per cell]
Au 0.0000 0.0000 0.5000 [3 per cell]

## Properties
Calculated total energy = -6.23 eV per atom
Formation energy (no corrections) = 0.436 eV/atom
N(E_F) = 9.77 states/eV/cell

***

> Number 7 is which compound?

Cs2ThCl7

***

Repeat the second record exactly.
Material: Nd10Dy6Ho
Method: DFT, PBE
State: relaxed

Cell lengths 9.8479, 9.8479, 6.9268 Å; angles 90.00, 90.00, 120.00 degrees
Space group P-31m (No. 162)
One atom of each set of equivalent atoms:
Nd 0.0000 0.2740 0.3151 [6 per cell]
Nd 0.3333 0.6667 0.0000 [2 per cell]
Nd 0.3333 0.6667 0.5000 [2 per cell]
Dy 0.0000 0.3707 0.8079 [6 per cell]
Ho 0.0000 0.0000 0.0000 [1 per cell]

## Properties
Calculated total energy = -4.57 eV per atom
N(E_F) = 24.92 states/eV/cell

***

> What is the calculated total energy in the tenth record?

-6.23 eV per atom